# 1
Here is a geometry-optimized CaSiTeAuSe structure from the Alexandria database. Energies are from PBE.

Cell: 5.801 4.025 6.110 Å, 90.00 104.95 90.00°
Space group Pm (No. 6)
Asymmetric unit:
Ca  0.000  0.000  0.000 x1
Si  0.659  0.500  0.172 x1
Te  0.630  0.000  0.459 x1
Au  0.148  0.000  0.490 x1
Se  0.302  0.500  0.887 x1

Results
ρ   5.684 g/cm3
Fermi-level density of states   1.7 states/eV/f.u.
Final energy   -3.8677 eV/atom
Energy above the most stable polymorph in this dataset   28.9 kJ per mole of atoms
Total moment   0.00 Bohr magnetons per cell

=====

# 2
Here is a geometry-optimized CaSiTeAuSe structure from the Alexandria database. Energies are from PBE.

Cell: 4.472 4.148 7.328 Å, 90.00 104.50 90.00°
Space group Pm (No. 6)
Asymmetric unit:
Ca  0.000  0.000  0.000 x1
Si  0.385  0.500  0.357 x1
Te  0.879  0.500  0.632 x1
Au  0.171  0.000  0.442 x1
Se  0.526  0.500  0.061 x1

Results
ρ   5.951 g/cm3
Fermi-level density of states   1.5 states/eV/f.u.
Final energy   -4.1677 eV/atom
Energy above the most stable polymorph in this dataset   0.0 kJ per mole of atoms
Total moment   0.00 Bohr magnetons per cell

=====

# 3
Here is a geometry-optimized CaSiTeAuSe structure from the Alexandria database. Energies are from PBE.

Cell: 3.977 4.070 8.684 Å, 88.17 84.51 89.99°
Space group P1 (No. 1)
Asymmetric unit:
Ca  0.000  0.000  0.000 x1
Si  0.371  0.025  0.587 x1
Te  0.911  0.056  0.396 x1
Au  0.406  0.515  0.738 x1
Se  0.493  0.498  0.038 x1

Results
ρ   5.600 g/cm3
Fermi-level density of states   1.1 states/eV/f.u.
Final energy   -4.1633 eV/atom
Energy above the most stable polymorph in this dataset   0.4 kJ per mole of atoms
Total moment   0.00 Bohr magnetons per cell

=====

# 4
Here is a geometry-optimized CaSiTeAuSe structure from the Alexandria database. Energies are from PBE.

Cell: 4.127 5.853 6.569 Å, 110.16 90.00 110.41°
Space group P1 (No. 1)
Asymmetric unit:
Ca  0.000  0.000  0.000 x1
Si  0.718  0.441  0.568 x1
Te  0.697  0.400  0.941 x1
Au  0.324  0.656  0.523 x1
Se  0.506  0.012  0.320 x1

Results
ρ   5.664 g/cm3
Fermi-level density of states   0.9 states/eV/f.u.
Final energy   -4.1297 eV/atom
Energy above the most stable polymorph in this dataset   3.7 kJ per mole of atoms
Total moment   0.00 Bohr magnetons per cell

=====

# 5
Here is a geometry-optimized CaSiTeAuSe structure from the Alexandria database. Energies are from PBE.

Cell: 4.817 4.940 6.018 Å, 90.00 106.00 90.00°
Space group Pm (No. 6)
Asymmetric unit:
Ca  0.000  0.000  0.000 x1
Si  0.566  0.500  0.710 x1
Te  0.321  0.000  0.569 x1
Au  0.018  0.500  0.630 x1
Se  0.656  0.500  0.110 x1

Results
ρ   5.690 g/cm3
Fermi-level density of states   0.7 states/eV/f.u.
Final energy   -4.0730 eV/atom
Energy above the most stable polymorph in this dataset   9.1 kJ per mole of atoms
Total moment   0.00 Bohr magnetons per cell

=====

# 6
Here is a geometry-optimized CaSiTeAuSe structure from the Alexandria database. Energies are from PBE.

Cell: 11.277 4.217 6.509 Å, 90.00 105.65 90.00°
Space group Cm (No. 8)
Asymmetric unit:
Ca  0.000  0.000  0.000 x2
Si  0.345  0.000  0.536 x2
Te  0.317  0.000  0.136 x2
Au  0.255  0.500  0.606 x2
Se  0.049  0.500  0.732 x2

Results
ρ   5.256 g/cm3
Fermi-level density of states   0.9 states/eV/f.u.
Final energy   -4.1282 eV/atom
Energy above the most stable polymorph in this dataset   3.8 kJ per mole of atoms
Total moment   0.00 Bohr magnetons per cell